(1)
NbReI2 | PBE | relaxed

Cell: 4.813 4.813 4.813 Å, 60.00 60.00 60.00°
Fractional positions:
Nb: 0.000 0.000 0.000
Re: 0.500 0.500 0.500
I: 0.250 0.250 0.250
I: 0.750 0.750 0.750

Results
Offset from the most stable computed form: 0.00 eV/f.u.
Calculated volume: 78.8 Å³/cell
Raw formation energy: 1184.8 meV/atom

***

(2)
Tl4TeMo | PBE | relaxed

Cell: 6.392 6.392 6.392 Å, 60.00 60.00 60.00°
Fractional positions:
Tl: 0.125 0.125 0.125
Tl: 0.125 0.125 0.625
Tl: 0.125 0.625 0.125
Tl: 0.625 0.125 0.125
Te: 0.500 0.500 0.500
Mo: 0.750 0.750 0.750

Results
Calculated volume: 184.7 Å³/cell
Raw formation energy: 751.2 meV/atom

***

(3)
InBiCO2 | PBE | relaxed

Cell: 4.109 4.109 4.569 Å, 90.00 90.00 90.00°
Fractional positions:
In: 0.000 0.000 0.000
Bi: 0.500 0.500 0.000
C: 0.500 0.500 0.500
O: 0.000 0.500 0.500
O: 0.500 0.000 0.500

Results
Calculated volume: 77.2 Å³/cell
Raw formation energy: 1082.5 meV/atom

***

(4)
HfTl3As | PBE | relaxed

Cell: 5.381 5.381 5.381 Å, 90.00 90.00 90.00°
Fractional positions:
Hf: 0.000 0.000 0.000
Tl: 0.000 0.500 0.500
Tl: 0.500 0.000 0.500
Tl: 0.500 0.500 0.000
As: 0.500 0.500 0.500

Results
ΔH_f (0 K): 0.951 eV per atom
Calculated volume: 155.8 Å³/cell

***

Which value of calculated volume does entry 3 give? 77.2 Å³/cell

***

Number 3 is which compound? InBiCO2

***

Which of these has the highest calculated volume? Tl4TeMo

***

Repeat the fourth record exactly.
HfTl3As | PBE | relaxed

Cell: 5.381 5.381 5.381 Å, 90.00 90.00 90.00°
Fractional positions:
Hf: 0.000 0.000 0.000
Tl: 0.000 0.500 0.500
Tl: 0.500 0.000 0.500
Tl: 0.500 0.500 0.000
As: 0.500 0.500 0.500

Results
ΔH_f (0 K): 0.951 eV per atom
Calculated volume: 155.8 Å³/cell